Here is a relaxed Hf4HPb2 crystal from Alexandria via LeMat-Bulk. Energies are from PBE.

Output
* magnetic moment: 0.00 μB/atom
* E above lowest polymorph: 0.353 eV/atom
* D(E_F): 0.72 states/eV per atom
* DFT total energy: -6.972 eV/atom

abc: 6.181 6.181 8.330
angles: 90.00 90.00 90.00
Space group I4/mmm (No. 139)
Unique sites:
Hf 0.247 0.247 0.000 (multiplicity 8)
H 0.000 0.000 0.500 (multiplicity 2)
Pb 0.000 0.500 0.250 (multiplicity 4)